! Cr2CdTc (PBE, relaxed); values from VASP
&SYSTEM
  ibrav = 0, nat = 4, ntyp = 3
/
ATOMIC_SPECIES
Tc 98.00 Tc.upf
Cr 52.00 Cr.upf
Cd 112.41 Cd.upf
ATOMIC_POSITIONS crystal
Tc 0.5000 0.5000 0.2500
Cr 0.0000 0.0000 0.4330
Cr 0.0000 0.0000 0.0670
Cd 0.5000 0.5000 0.7500
CELL_PARAMETERS angstrom
2.8887 0.0000 0.0000
0.0000 3.7179 0.0000
0.0000 0.0000 5.7060
! VASP energy = -7.27 eV/atom
! space-group type = Pmmm, No. 47


! PaVGe (PBE, relaxed); values from VASP
&SYSTEM
  ibrav = 0, nat = 3, ntyp = 3
/
ATOMIC_SPECIES
Pa 231.04 Pa.upf
Ge 72.64 Ge.upf
V 50.94 V.upf
ATOMIC_POSITIONS crystal
Pa 0.6667 0.3333 0.6667
Ge 0.1667 0.6667 0.3333
V 0.1666 0.0000 0.0000
CELL_PARAMETERS angstrom
3.5021 0.0000 0.0000
0.0000 4.4290 0.0000
0.0000 -2.2145 3.8356
! VASP energy = -7.88 eV/atom
! space-group type = P-6m2, No. 187


! ReRu2Pb (PBE, relaxed); values from VASP
&SYSTEM
  ibrav = 0, nat = 8, ntyp = 3
/
ATOMIC_SPECIES
Re 186.21 Re.upf
Ru 101.07 Ru.upf
Pb 207.20 Pb.upf
ATOMIC_POSITIONS crystal
Re 0.5000 0.5000 0.0000
Re 0.2500 0.7500 0.5000
Ru 0.3750 0.4248 0.7500
Ru 0.1748 0.6250 0.2500
Ru 0.8750 0.8252 0.7500
Ru 0.5752 0.1250 0.2500
Pb 0.7500 0.2500 0.5000
Pb 0.0000 0.0000 0.0000
CELL_PARAMETERS angstrom
7.2530 0.0000 0.0000
0.0000 7.2530 0.0000
3.6265 3.6265 2.8558
! VASP energy = -7.81 eV/atom
! space-group type = I-42d, No. 122


! Pm6IrSe2S3 (PBE, relaxed); values from VASP
&SYSTEM
  ibrav = 0, nat = 12, ntyp = 4
/
ATOMIC_SPECIES
Se 78.96 Se.upf
S 32.06 S.upf
Pm 145.00 Pm.upf
Ir 192.22 Ir.upf
ATOMIC_POSITIONS crystal
Se 0.8317 0.6625 0.6635
Se 0.1683 0.3375 0.3365
S 0.1697 0.8335 0.3395
S 0.8303 0.1665 0.6605
S 0.5000 0.5000 0.0000
Pm 0.6642 0.0734 0.3285
Pm 0.6625 0.5921 0.3249
Pm 0.3358 0.9266 0.6715
Pm 0.0024 0.7621 0.0049
Pm 0.3375 0.4079 0.6751
Pm 0.9976 0.2379 0.9951
Ir 0.5000 0.0000 0.0000
CELL_PARAMETERS angstrom
-0.5113 -3.0776 2.6198
5.4096 3.5551 5.2321
-7.6415 5.0368 1.2581
! formation energy from raw total energies = -1.73 eV per atom
! space-group type = C2/m, No. 12


! CaPr6Nd2Sm3 (PBE, relaxed); values from VASP
&SYSTEM
  ibrav = 0, nat = 12, ntyp = 4
/
ATOMIC_SPECIES
Sm 150.36 Sm.upf
Pr 140.91 Pr.upf
Ca 40.08 Ca.upf
Nd 144.24 Nd.upf
ATOMIC_POSITIONS crystal
Sm 0.8338 0.1662 0.5000
Sm 0.5000 0.5000 0.5000
Sm 0.1662 0.8338 0.5000
Pr 0.5758 0.9145 0.7465
Pr 0.4242 0.0855 0.2535
Pr 0.9145 0.5758 0.7465
Pr 0.7469 0.7469 0.2542
Pr 0.0855 0.4242 0.2535
Pr 0.2531 0.2531 0.7458
Ca 0.0000 0.0000 0.0000
Nd 0.6672 0.3328 0.0000
Nd 0.3328 0.6672 0.0000
CELL_PARAMETERS angstrom
-3.9996 -4.7158 -1.7195
1.2821 1.0227 6.2051
-8.3583 8.8441 -0.8336
! VASP energy = -4.51 eV/atom
! space-group type = C2/m, No. 12


! Ho5Pb2C (PBE, relaxed); values from VASP
&SYSTEM
  ibrav = 0, nat = 16, ntyp = 3
/
ATOMIC_SPECIES
Ho 164.93 Ho.upf
C 12.01 C.upf
Pb 207.20 Pb.upf
ATOMIC_POSITIONS crystal
Ho 0.0931 0.1862 0.1151
Ho 0.7083 0.4165 0.5793
Ho 0.7129 0.4258 0.2500
Ho 0.2871 0.5742 0.7500
Ho 0.2917 0.5835 0.0793
Ho 0.2917 0.5835 0.4207
Ho 0.0931 0.1862 0.3849
Ho 0.7083 0.4165 0.9207
Ho 0.9069 0.8138 0.8849
Ho 0.9069 0.8138 0.6151
C 0.1891 0.3782 0.2500
C 0.8109 0.6218 0.7500
Pb 0.8993 0.7985 0.1297
Pb 0.8993 0.7985 0.3703
Pb 0.1007 0.2015 0.6297
Pb 0.1007 0.2015 0.8703
CELL_PARAMETERS angstrom
-1.2883 3.1838 3.4893
-5.5510 1.0177 -6.4132
-7.5671 -8.7233 5.1656
! VASP energy = -4.93 eV/atom
! space-group type = Cmcm, No. 63


! SmGdCdIn (PBE, relaxed); values from VASP
&SYSTEM
  ibrav = 0, nat = 4, ntyp = 4
/
ATOMIC_SPECIES
Gd 157.25 Gd.upf
Cd 112.41 Cd.upf
In 114.82 In.upf
Sm 150.36 Sm.upf
ATOMIC_POSITIONS crystal
Gd 0.5000 0.5000 0.5000
Cd 0.2500 0.2500 0.2500
In 0.7500 0.7500 0.7500
Sm 0.0000 0.0000 0.0000
CELL_PARAMETERS angstrom
-3.6611 -2.6503 -2.9175
1.2283 -1.7050 -4.9522
0.6175 -5.2573 -0.9587
! VASP energy = -6.04 eV/atom
! space-group type = F-43m, No. 216


! DyYAl (PBE, relaxed); values from VASP
&SYSTEM
  ibrav = 0, nat = 6, ntyp = 3
/
ATOMIC_SPECIES
Dy 162.50 Dy.upf
Al 26.98 Al.upf
Y 88.91 Y.upf
ATOMIC_POSITIONS crystal
Dy 0.2500 0.2500 0.0000
Dy 0.7500 0.7500 0.0000
Al 0.7496 0.2504 0.7343
Al 0.2504 0.7496 0.2657
Y 0.2496 0.7504 0.6423
Y 0.7504 0.2496 0.3577
CELL_PARAMETERS angstrom
-2.5150 1.6760 -3.3623
1.3014 -3.4070 -2.6718
-6.3402 -4.4224 2.5437
! energy above the lowest structure with this stoichiometry = 94 meV/atom
! space-group type = P4/nmm, No. 129


! BaAc2N2 (PBE, relaxed); values from VASP
&SYSTEM
  ibrav = 0, nat = 5, ntyp = 3
/
ATOMIC_SPECIES
N 14.01 N.upf
Ac 227.00 Ac.upf
Ba 137.33 Ba.upf
ATOMIC_POSITIONS crystal
N 0.2500 0.7500 0.5000
N 0.7500 0.2500 0.5000
Ac 0.6831 0.6831 0.3662
Ac 0.3169 0.3169 0.6338
Ba 0.0000 0.0000 0.0000
CELL_PARAMETERS angstrom
-2.0939 -2.8748 -3.1711
3.4209 -3.2457 0.6837
-4.3082 0.2604 6.1885
! formation energy from raw total energies = -0.71 eV per atom
! space-group type = I4/mmm, No. 139


! Mn2TlCl7 (PBE, relaxed); values from VASP
&SYSTEM
  ibrav = 0, nat = 10, ntyp = 3
/
ATOMIC_SPECIES
Cl 35.45 Cl.upf
Mn 54.94 Mn.upf
Tl 204.38 Tl.upf
ATOMIC_POSITIONS crystal
Cl 0.5000 0.3352 0.0475
Cl 0.5000 0.9525 0.6648
Cl 0.0000 0.6951 0.3049
Cl 0.5000 0.0475 0.3352
Cl 0.0000 0.3049 0.6951
Cl 0.5000 0.5000 0.5000
Cl 0.5000 0.6648 0.9525
Mn 0.5000 0.3129 0.6871
Mn 0.5000 0.6871 0.3129
Tl 0.0000 0.0000 0.0000
CELL_PARAMETERS angstrom
-4.4306 1.6169 -0.5534
-2.0844 -3.4256 6.6797
2.6849 7.3125 -0.1295
! formation energy from raw total energies = -0.81 eV per atom
! space-group type = Cmmm, No. 65


! Sm2MnCo10 (PBE, relaxed); values from VASP
&SYSTEM
  ibrav = 0, nat = 26, ntyp = 3
/
ATOMIC_SPECIES
Co 58.93 Co.upf
Sm 150.36 Sm.upf
Mn 54.94 Mn.upf
ATOMIC_POSITIONS crystal
Co 0.2586 0.1733 0.1635
Co 0.0010 0.8341 0.4872
Co 0.9991 0.6659 0.9872
Co 0.0004 0.1530 0.8262
Co 0.2586 0.6733 0.3365
Co 0.9996 0.8470 0.1738
Co 0.9991 0.5153 0.1717
Co 0.0009 0.3341 0.0128
Co 0.2588 0.3269 0.6635
Co 0.9996 0.3470 0.3262
Co 0.7412 0.6731 0.3365
Co 0.7414 0.8267 0.8365
Co 0.0009 0.4847 0.8283
Co 0.7414 0.3267 0.6635
Co 0.9990 0.0153 0.3282
Co 0.0010 0.9847 0.6718
Co 0.9990 0.1659 0.5128
Co 0.0004 0.6530 0.6738
Co 0.7411 0.1731 0.1635
Co 0.2589 0.8269 0.8365
Sm 0.5007 0.7611 0.5924
Sm 0.5006 0.2611 0.9076
Sm 0.4993 0.2389 0.4076
Sm 0.4994 0.7389 0.0924
Mn 0.0000 0.5000 0.5000
Mn 0.0000 0.0000 0.0000
CELL_PARAMETERS angstrom
-3.5122 3.0800 1.6076
-4.0749 -5.3191 1.2500
4.3867 -0.7641 11.0487
! VASP energy = -6.70 eV/atom
! space-group type = P2_1/c, No. 14


! Sm2YS (PBE, relaxed); values from VASP
&SYSTEM
  ibrav = 0, nat = 4, ntyp = 3
/
ATOMIC_SPECIES
Y 88.91 Y.upf
Sm 150.36 Sm.upf
S 32.06 S.upf
ATOMIC_POSITIONS crystal
Y 0.5000 0.5000 0.5000
Sm 0.2724 0.2724 0.1829
Sm 0.7276 0.7276 0.8171
S 0.0000 0.0000 0.0000
CELL_PARAMETERS angstrom
3.8144 0.0000 0.0000
1.9072 3.3033 0.0000
1.9072 1.1011 9.4741
! formation energy from raw total energies = -0.91 eV per atom
! space-group type = R-3m, No. 166